Record 1
# CaAg2Mo, optimized geometry, DFT PBE
data_CaAg2Mo
_chemical_formula_sum 'Ca2 Ag4 Mo2'
_cell_length_a 11.146
_cell_length_b 2.865
_cell_length_c 5.338
_cell_angle_alpha 90.00
_cell_angle_beta 114.21
_cell_angle_gamma 90.00
_space_group_name_H-M_alt 'C 1 m 1'
_space_group_IT_number 8
loop_
_space_group_symop_operation_xyz
'x,y,z'
'x,-y,z'
'x+1/2,y+1/2,z'
'x+1/2,-y+1/2,z'
loop_
_atom_site_label
_atom_site_type_symbol
_atom_site_fract_x
_atom_site_fract_y
_atom_site_fract_z
Ca1 Ca 0.000 0.000 0.000
Ag1 Ag 0.006 0.500 0.496
Ag2 Ag 0.242 0.000 0.903
Mo1 Mo 0.265 0.500 0.427
# - Total magnetization: 0.9 μB per formula unit
# - Formation enthalpy at 0 K: 454 meV/atom
# - DFT total energy: -4.180 eV per atom
# - ΔE to the lowest computed polymorph: 46 meV/atom

Record 2
# CaAgMo2, optimized geometry, DFT PBE
data_CaAgMo2
_chemical_formula_sum 'Ca1 Ag1 Mo2'
_cell_length_a 2.815
_cell_length_b 5.285
_cell_length_c 5.114
_cell_angle_alpha 90.00
_cell_angle_beta 95.85
_cell_angle_gamma 90.00
_space_group_name_H-M_alt 'P 1 2/m 1'
_space_group_IT_number 10
loop_
_space_group_symop_operation_xyz
'x,y,z'
'-x,-y,-z'
'-x,y,-z'
'x,-y,z'
loop_
_atom_site_label
_atom_site_type_symbol
_atom_site_fract_x
_atom_site_fract_y
_atom_site_fract_z
Ca1 Ca 0.000 0.000 0.000
Ag1 Ag 0.500 0.000 0.500
Mo1 Mo 0.336 0.500 0.762
# - Total magnetization: 0.0 μB per formula unit
# - Formation enthalpy at 0 K: 605 meV/atom
# - DFT total energy: -6.023 eV per atom
# - ΔE to the lowest computed polymorph: 278 meV/atom

Record 3
# CaAgMo2, optimized geometry, DFT PBE
data_CaAgMo2
_chemical_formula_sum 'Ca2 Ag2 Mo4'
_cell_length_a 3.558
_cell_length_b 4.133
_cell_length_c 9.938
_cell_angle_alpha 90.00
_cell_angle_beta 90.00
_cell_angle_gamma 90.00
_space_group_name_H-M_alt 'C m m m'
_space_group_IT_number 65
_space_group_name_Hall '-C 2 2'
loop_
_atom_site_label
_atom_site_type_symbol
_atom_site_fract_x
_atom_site_fract_y
_atom_site_fract_z
Ca1 Ca 0.000 0.000 0.000
Ag1 Ag 0.000 0.000 0.500
Mo1 Mo 0.000 0.500 0.266
# - Total magnetization: 0.0 μB per formula unit
# - Formation enthalpy at 0 K: 691 meV/atom
# - DFT total energy: -5.937 eV per atom
# - ΔE to the lowest computed polymorph: 364 meV/atom

Record 4
# CaAgMo2, optimized geometry, DFT PBE
data_CaAgMo2
_chemical_formula_sum 'Ca1 Ag1 Mo2'
_cell_length_a 3.682
_cell_length_b 3.682
_cell_length_c 6.505
_cell_angle_alpha 90.00
_cell_angle_beta 90.00
_cell_angle_gamma 90.00
_space_group_name_H-M_alt 'P 4/m m m'
_space_group_IT_number 123
_space_group_name_Hall '-P 4 2'
loop_
_atom_site_label
_atom_site_type_symbol
_atom_site_fract_x
_atom_site_fract_y
_atom_site_fract_z
Ca1 Ca 0.000 0.000 0.000
Ag1 Ag 0.000 0.000 0.500
Mo1 Mo 0.500 0.500 0.333
# - Total magnetization: 0.0 μB per formula unit
# - Formation enthalpy at 0 K: 806 meV/atom
# - DFT total energy: -5.823 eV per atom
# - ΔE to the lowest computed polymorph: 478 meV/atom

Record 5
# CaAgMo2, optimized geometry, DFT PBE
data_CaAgMo2
_chemical_formula_sum 'Ca2 Ag2 Mo4'
_cell_length_a 3.311
_cell_length_b 4.832
_cell_length_c 9.547
_cell_angle_alpha 90.00
_cell_angle_beta 90.00
_cell_angle_gamma 90.00
_space_group_name_H-M_alt 'C m m 2'
_space_group_IT_number 35
loop_
_space_group_symop_operation_xyz
'x,y,z'
'-x,-y,z'
'-x,y,z'
'x,-y,z'
'x+1/2,y+1/2,z'
'-x+1/2,-y+1/2,z'
'-x+1/2,y+1/2,z'
'x+1/2,-y+1/2,z'
loop_
_atom_site_label
_atom_site_type_symbol
_atom_site_fract_x
_atom_site_fract_y
_atom_site_fract_z
Ca1 Ca 0.000 0.000 0.000
Ag1 Ag 0.000 0.500 0.726
Mo1 Mo 0.000 0.000 0.477
Mo2 Mo 0.000 0.500 0.273
# - Total magnetization: 0.0 μB per formula unit
# - Formation enthalpy at 0 K: 439 meV/atom
# - DFT total energy: -6.190 eV per atom
# - ΔE to the lowest computed polymorph: 111 meV/atom

Record 6
# CaAg2Mo, optimized geometry, DFT PBE
data_CaAg2Mo
_chemical_formula_sum 'Ca3 Ag6 Mo3'
_cell_length_a 3.0191
_cell_length_b 3.0191
_cell_length_c 29.6789
_cell_angle_alpha 90.00
_cell_angle_beta 90.00
_cell_angle_gamma 120.00
_space_group_name_H-M_alt 'R 3 m'
_space_group_IT_number 160
_space_group_name_Hall 'R 3 -2"'
loop_
_atom_site_label
_atom_site_type_symbol
_atom_site_fract_x
_atom_site_fract_y
_atom_site_fract_z
Ca1 Ca 0.0000 0.0000 0.0000
Ag1 Ag 0.0000 0.0000 0.5015
Ag2 Ag 0.0000 0.0000 0.7549
Mo1 Mo 0.0000 0.0000 0.2463
# - Total magnetization: 0.0 μB per formula unit
# - Formation enthalpy at 0 K: 563 meV/atom
# - DFT total energy: -4.071 eV per atom
# - ΔE to the lowest computed polymorph: 155 meV/atom

Record 7
# CaAgMo2, optimized geometry, DFT PBE
data_CaAgMo2
_chemical_formula_sum 'Ca4 Ag4 Mo8'
_cell_length_a 3.872
_cell_length_b 3.872
_cell_length_c 21.727
_cell_angle_alpha 90.00
_cell_angle_beta 90.00
_cell_angle_gamma 90.00
_space_group_name_H-M_alt 'I -4 2 d'
_space_group_IT_number 122
_space_group_name_Hall 'I -4 2bw'
loop_
_atom_site_label
_atom_site_type_symbol
_atom_site_fract_x
_atom_site_fract_y
_atom_site_fract_z
Ca1 Ca 0.000 0.000 0.000
Ag1 Ag 0.000 0.000 0.500
Mo1 Mo 0.208 0.250 0.625
# - Total magnetization: 0.0 μB per formula unit
# - Formation enthalpy at 0 K: 822 meV/atom
# - DFT total energy: -5.807 eV per atom
# - ΔE to the lowest computed polymorph: 494 meV/atom

Record 8
# CaAgMo2, optimized geometry, DFT PBE
data_CaAgMo2
_chemical_formula_sum 'Ca4 Ag4 Mo8'
_cell_length_a 6.657
_cell_length_b 6.657
_cell_length_c 6.657
_cell_angle_alpha 90.00
_cell_angle_beta 90.00
_cell_angle_gamma 90.00
_space_group_name_H-M_alt 'F -4 3 m'
_space_group_IT_number 216
_space_group_name_Hall 'F -4 2 3'
loop_
_atom_site_label
_atom_site_type_symbol
_atom_site_fract_x
_atom_site_fract_y
_atom_site_fract_z
Ca1 Ca 0.000 0.000 0.000
Ag1 Ag 0.250 0.250 0.750
Mo1 Mo 0.000 0.000 0.500
Mo2 Mo 0.250 0.250 0.250
# - Total magnetization: 0.0 μB per formula unit
# - Formation enthalpy at 0 K: 633 meV/atom
# - DFT total energy: -5.996 eV per atom
# - ΔE to the lowest computed polymorph: 305 meV/atom

The highest ΔE to the lowest computed polymorph belongs to which entry?
number 7